(1)
First-principles (GGA-PBE) data for crystalline Cu2SbC at its relaxed geometry, as listed in Alexandria via LeMat-Bulk.

a b c (Å): 4.4837 4.4837 6.9758
angles (deg): 71.25 71.25 90.00
Fractional coordinates of all 8 atoms:
Sb 0.0000 0.0000 0.0000
Sb 0.7500 0.2500 0.5000
C 0.5000 0.5000 0.0000
C 0.2500 0.7500 0.5000
Cu 0.4672 0.1250 0.2500
Cu 0.2828 0.6250 0.2500
Cu 0.3750 0.5328 0.7500
Cu 0.8750 0.7172 0.7500

Results
Symmetry   I-42d (122)
Offset from the most stable computed form   0 meV per atom



(2)
First-principles (GGA-PBE) data for crystalline SnP2OsCl at its relaxed geometry, as listed in Alexandria via LeMat-Bulk.

a b c (Å): 5.0329 5.0329 4.8538
angles (deg): 90.00 90.00 90.00
Fractional coordinates of all 5 atoms:
P 0.0000 0.5000 0.0000
P 0.5000 0.0000 0.0000
Os 0.5000 0.5000 0.5000
Sn 0.0000 0.0000 0.0000
Cl 0.0000 0.0000 0.5000

Results
Symmetry   P4/mmm (123)
Offset from the most stable computed form   1338 meV per atom



(3)
First-principles (GGA-PBE) data for crystalline P2PdSeO at its relaxed geometry, as listed in Alexandria via LeMat-Bulk.

a b c (Å): 4.7831 4.7831 3.8221
angles (deg): 90.00 90.00 90.00
Fractional coordinates of all 5 atoms:
O 0.0000 0.0000 0.5000
P 0.0000 0.5000 0.0000
P 0.5000 0.0000 0.0000
Se 0.5000 0.5000 0.5000
Pd 0.0000 0.0000 0.0000

Results
Symmetry   P4/mmm (123)
Offset from the most stable computed form   0 meV per atom



(4)
First-principles (GGA-PBE) data for crystalline BaSi2Se at its relaxed geometry, as listed in Alexandria via LeMat-Bulk.

a b c (Å): 8.8404 8.8404 8.8404
angles (deg): 24.42 24.42 24.42
Fractional coordinates of all 4 atoms:
Ba 0.2500 0.2500 0.2500
Se 0.7500 0.7500 0.7500
Si 0.0200 0.0200 0.0200
Si 0.4800 0.4800 0.4800

Results
Symmetry   R-3m (166)
Offset from the most stable computed form   795 meV per atom



(5)
First-principles (GGA-PBE) data for crystalline ReTcP at its relaxed geometry, as listed in Alexandria via LeMat-Bulk.

a b c (Å): 4.4340 4.4340 4.4340
angles (deg): 142.13 126.67 67.26
Fractional coordinates of all 3 atoms:
Re 0.6729 0.6729 0.0000
Tc 0.3268 0.3268 0.0000
P 0.0003 0.0003 0.0000

Results
Formation enthalpy at 0 K   68 meV per atom
Symmetry   Imm2 (44)
Offset from the most stable computed form   308 meV per atom



(6)
First-principles (GGA-PBE) data for crystalline Zr2CuMo at its relaxed geometry, as listed in Alexandria via LeMat-Bulk.

a b c (Å): 4.6645 4.6645 4.6645
angles (deg): 60.00 60.00 60.00
Fractional coordinates of all 4 atoms:
Cu 0.5000 0.5000 0.5000
Mo 0.2500 0.2500 0.2500
Zr 0.0000 0.0000 0.0000
Zr 0.7500 0.7500 0.7500

Results
Formation enthalpy at 0 K   226 meV per atom
Symmetry   F-43m (216)
Offset from the most stable computed form   339 meV per atom



(7)
First-principles (GGA-PBE) data for crystalline HfTl2Cr at its relaxed geometry, as listed in Alexandria via LeMat-Bulk.

a b c (Å): 4.9535 4.9535 4.9535
angles (deg): 60.00 60.00 60.00
Fractional coordinates of all 4 atoms:
Cr 0.0000 0.0000 0.0000
Tl 0.2500 0.2500 0.2500
Tl 0.7500 0.7500 0.7500
Hf 0.5000 0.5000 0.5000

Results
Formation enthalpy at 0 K   477 meV per atom
Symmetry   Fm-3m (225)
Offset from the most stable computed form   0 meV per atom



(8)
First-principles (GGA-PBE) data for crystalline SrLaSm2 at its relaxed geometry, as listed in Alexandria via LeMat-Bulk.

a b c (Å): 3.6886 3.6886 13.2663
angles (deg): 82.01 82.01 60.00
Fractional coordinates of all 4 atoms:
Sr 0.0000 0.0000 0.0000
Sm 0.0916 0.0916 0.7253
Sm 0.9084 0.9084 0.2747
La 0.5000 0.5000 0.5000

Results
Formation enthalpy at 0 K   192 meV per atom
Symmetry   R-3m (166)
Offset from the most stable computed form   89 meV per atom



(9)
First-principles (GGA-PBE) data for crystalline BaCa3Pd at its relaxed geometry, as listed in Alexandria via LeMat-Bulk.

a b c (Å): 25.1848 7.2006 10.2228
angles (deg): 90.00 154.78 90.00
Fractional coordinates of all 20 atoms:
Ca 0.1728 0.1074 0.5874
Ca 0.8272 0.8926 0.4126
Ca 0.3272 0.6074 0.9126
Ca 0.6728 0.3926 0.0874
Ca 0.2837 0.3207 0.1617
Ca 0.7163 0.6793 0.8383
Ca 0.2163 0.8207 0.3383
Ca 0.7837 0.1793 0.6617
Ca 0.5669 0.7484 0.1688
Ca 0.4331 0.2516 0.8312
Ca 0.9331 0.2484 0.3312
Ca 0.0669 0.7516 0.6688
Ba 0.4398 0.8281 0.5146
Ba 0.5602 0.1719 0.4854
Ba 0.0602 0.3281 0.9854
Ba 0.9398 0.6719 0.0146
Pd 0.1207 0.4562 0.6017
Pd 0.8793 0.5438 0.3983
Pd 0.3793 0.9562 0.8983
Pd 0.6207 0.0438 0.1017

Results
Formation enthalpy at 0 K   -266 meV per atom
Symmetry   P2_1/c (14)
Offset from the most stable computed form   45 meV per atom



(10)
First-principles (GGA-PBE) data for crystalline GaGe at its relaxed geometry, as listed in Alexandria via LeMat-Bulk.

a b c (Å): 11.7453 11.7453 2.9496
angles (deg): 90.00 90.00 90.00
Fractional coordinates of all 16 atoms:
Ga 0.3934 0.7633 0.0000
Ga 0.6066 0.2367 0.0000
Ga 0.2367 0.3934 0.0000
Ga 0.7633 0.6066 0.0000
Ga 0.8934 0.2633 0.5000
Ga 0.1066 0.7367 0.5000
Ga 0.7367 0.8934 0.5000
Ga 0.2633 0.1066 0.5000
Ge 0.3934 0.2425 0.0000
Ge 0.6066 0.7575 0.0000
Ge 0.7575 0.3934 0.0000
Ge 0.2425 0.6066 0.0000
Ge 0.8934 0.7425 0.5000
Ge 0.1066 0.2575 0.5000
Ge 0.2575 0.8934 0.5000
Ge 0.7425 0.1066 0.5000

Results
Formation enthalpy at 0 K   157 meV per atom
Symmetry   I4/m (87)
Offset from the most stable computed form   9 meV per atom



(11)
First-principles (GGA-PBE) data for crystalline BeZnTeN2 at its relaxed geometry, as listed in Alexandria via LeMat-Bulk.

a b c (Å): 3.6375 3.6375 5.7113
angles (deg): 90.00 90.00 90.00
Fractional coordinates of all 5 atoms:
Be 0.0000 0.0000 0.0000
Zn 0.5000 0.5000 0.5000
Te 0.0000 0.0000 0.5000
N 0.0000 0.5000 0.0000
N 0.5000 0.0000 0.0000

Results
Symmetry   P4/mmm (123)
Offset from the most stable computed form   0 meV per atom



| no. | total magnetic moment (μB/f.u.) | V (Å³ per cell) | uncorrected energy (eV/atom) |
| --- | --- | --- | --- |
| 1 | 0.00 | 124.9 | -4.61 |
| 2 | 2.95 | 122.9 | -3.86 |
| 3 | 0.00 | 87.4 | -4.34 |
| 4 | 0.00 | 103.8 | -3.73 |
| 5 | 0.00 | 42.3 | -9.34 |
| 6 | 0.00 | 71.8 | -7.78 |
| 7 | 3.69 | 85.9 | -5.60 |
| 8 | 0.00 | 154.3 | -3.82 |
| 9 | 0.00 | 789.8 | -2.89 |
| 10 | 0.00 | 406.9 | -3.67 |
| 11 | 1.53 | 75.6 | -3.78 |